SrEuHfCrO6 after structural relaxation, computed with GGA+U.

Unit cell a=8.0154 b=8.0154 c=8.0154 alpha=90.00 beta=90.00 gamma=90.00
Space group F-43m (No. 216)
Symmetry-distinct sites (fractional):
Sr  0.0000  0.0000  0.0000 (multiplicity 4)
Eu  0.0000  0.0000  0.5000 (multiplicity 4)
Hf  0.2500  0.2500  0.2500 (multiplicity 4)
Cr  0.2500  0.2500  0.7500 (multiplicity 4)
O  0.0056  0.2500  0.7500 (multiplicity 24)

Results
DFT total energy: -8.727 eV/atom